# BaTcBr2 PBE relaxed
# energy above the lowest structure with this stoichiometry	169	meV/atom
# magnetic moment	3.1	μB per formula unit
# uncorrected formation energy	-0.199	eV/atom
data_BaTcBr2
_cell_length_a 7.609
_cell_length_b 7.609
_cell_length_c 7.609
_cell_angle_alpha 90.00
_cell_angle_beta 90.00
_cell_angle_gamma 90.00
_symmetry_space_group_name_H-M 'F m -3 m'
_symmetry_Int_Tables_number 225
_symmetry_space_group_name_Hall '-F 4 2 3'
loop_
_atom_site_label
_atom_site_fract_x
_atom_site_fract_y
_atom_site_fract_z
Ba1 0.000 0.000 0.000
Tc1 0.000 0.000 0.500
Br1 0.250 0.250 0.250

# Li6H12Ir PBE relaxed
# magnetic moment	0.0	μB per formula unit
# final energy	-3.337	eV/atom
data_Li6H12Ir
_cell_length_a 8.0355
_cell_length_b 8.0355
_cell_length_c 8.2988
_cell_angle_alpha 90.00
_cell_angle_beta 90.00
_cell_angle_gamma 120.00
_symmetry_space_group_name_H-M 'R -3'
_symmetry_Int_Tables_number 148
_symmetry_space_group_name_Hall '-R 3'
loop_
_atom_site_label
_atom_site_fract_x
_atom_site_fract_y
_atom_site_fract_z
Li1 0.0803 0.5178 0.3319
H1 0.0155 0.1822 0.8874
H2 0.0318 0.5040 0.0463
Ir1 0.0000 0.0000 0.0000

# CaCuPd2Au PBE relaxed
# magnetic moment	0.0	μB per formula unit
# formation enthalpy at 0 K	0.223	eV/atom
data_CaCuPd2Au
_cell_length_a 5.077
_cell_length_b 5.077
_cell_length_c 4.716
_cell_angle_alpha 90.00
_cell_angle_beta 90.00
_cell_angle_gamma 90.00
_symmetry_space_group_name_H-M 'P 4/m m m'
_symmetry_Int_Tables_number 123
_symmetry_space_group_name_Hall '-P 4 2'
loop_
_atom_site_label
_atom_site_fract_x
_atom_site_fract_y
_atom_site_fract_z
Ca1 0.000 0.000 0.000
Cu1 0.500 0.500 0.000
Pd1 0.000 0.500 0.500
Au1 0.500 0.500 0.500

# TlCoBAs2 PBE relaxed
# magnetic moment	0.0	μB per formula unit
# formation enthalpy at 0 K	1.086	eV/atom
data_TlCoBAs2
_cell_length_a 4.392
_cell_length_b 4.392
_cell_length_c 5.572
_cell_angle_alpha 90.00
_cell_angle_beta 90.00
_cell_angle_gamma 90.00
_symmetry_space_group_name_H-M 'P 4/m m m'
_symmetry_Int_Tables_number 123
_symmetry_space_group_name_Hall '-P 4 2'
loop_
_atom_site_label
_atom_site_fract_x
_atom_site_fract_y
_atom_site_fract_z
Tl1 0.000 0.000 0.000
Co1 0.000 0.000 0.500
B1 0.500 0.500 0.000
As1 0.000 0.500 0.500

# Th6Ge5P PBE relaxed
# magnetic moment	0.0	μB per formula unit
# formation enthalpy at 0 K	-0.903	eV/atom
data_Th6Ge5P
_cell_length_a 7.415
_cell_length_b 12.843
_cell_length_c 7.404
_cell_angle_alpha 90.00
_cell_angle_beta 109.48
_cell_angle_gamma 90.00
_symmetry_space_group_name_H-M 'C 1 2/m 1'
_symmetry_Int_Tables_number 12
loop_
_symmetry_equiv_pos_as_xyz
'x,y,z'
'-x,-y,-z'
'-x,y,-z'
'x,-y,z'
'x+1/2,y+1/2,z'
'-x+1/2,-y+1/2,-z'
'-x+1/2,y+1/2,-z'
'x+1/2,-y+1/2,z'
loop_
_atom_site_label
_atom_site_fract_x
_atom_site_fract_y
_atom_site_fract_z
Th1 0.246 0.000 0.251
Th2 0.247 0.165 0.748
Ge1 0.000 0.168 0.000
Ge2 0.000 0.333 0.500
Ge3 0.000 0.500 0.000
P1 0.000 0.000 0.500

# HoTl2BiSe4 PBE relaxed
# magnetic moment	0.0	μB per formula unit
# uncorrected formation energy	-0.916	eV/atom
data_HoTl2BiSe4
_cell_length_a 7.373
_cell_length_b 4.234
_cell_length_c 8.088
_cell_angle_alpha 90.00
_cell_angle_beta 107.55
_cell_angle_gamma 90.00
_symmetry_space_group_name_H-M 'P 1 2/m 1'
_symmetry_Int_Tables_number 10
loop_
_symmetry_equiv_pos_as_xyz
'x,y,z'
'-x,-y,-z'
'-x,y,-z'
'x,-y,z'
loop_
_atom_site_label
_atom_site_fract_x
_atom_site_fract_y
_atom_site_fract_z
Ho1 0.000 0.000 0.000
Tl1 0.000 0.500 0.500
Tl2 0.500 0.000 0.500
Bi1 0.500 0.500 0.000
Se1 0.227 0.500 0.206
Se2 0.254 0.000 0.789